DFT (PBE+U) results for an optimized crystal structure of TlFe2GeO.

abc: 4.236 4.929 4.236
angles: 90.00 90.00 90.00
Each line ends with the local moment (μB).
Element x y z (fractional)
O  0.000  0.000  0.000  0.10
Ge  0.000  0.500  0.000  -0.02
Fe  0.500  0.000  0.000  3.64
Tl  0.500  0.500  0.500  -0.05
Fe  0.000  0.000  0.500  3.62

- VASP energy: -4.586 eV per atom
- Total magnetic moment: 7.3 μB/f.u.
- Fermi-level density of states: 0.43 states/eV/atom